Li2FeAu at its PBEsol-relaxed geometry. Source: the Alexandria database, functional meta-GGA SCAN.

Cell lengths 2.7097, 2.7097, 26.7593 Å; angles 90.00, 90.00, 120.00 degrees
Space group R-3m (No. 166, hexagonal axes)
Asymmetric unit:
Li 0.0000 0.0000 0.2485 x6
Fe 0.0000 0.0000 0.5000 x3
Au 0.0000 0.0000 0.0000 x3

Calculated values
calculated total energy	-23.0367	eV per atom
density of states at the Fermi level	8.51	states/eV per cell